1.
CaTlSCl2 | PBEsol | optimized geometry

Its total moment is 0.00 μB per formula unit. The energy relative to the elements, uncorrected is -0.81 eV/atom. Its total energy is -17.2 eV per cell.

The space group is P4/mmm (No. 123) and the conventional cell measures 5.315, 5.315 and 5.146 Å, with angles of 90.00, 90.00 and 90.00 degrees. The inequivalent atoms are Ca at (0.000, 0.000, 0.000), Tl at (0.500, 0.500, 0.500), S at (0.500, 0.500, 0.000) and Cl at (0.000, 0.500, 0.500).

=====

2.
SiPPdCl2 | PBEsol | optimized geometry

Its total moment is 0.00 μB per formula unit. The energy relative to the elements, uncorrected is 0.43 eV/atom. Its total energy is -19.4 eV per cell.

The space group is P4/mmm (No. 123) and the conventional cell measures 4.638, 4.638 and 4.783 Å, with angles of 90.00, 90.00 and 90.00 degrees. The inequivalent atoms are Si at (0.000, 0.000, 0.000), P at (0.500, 0.500, 0.000), Pd at (0.500, 0.500, 0.500) and Cl at (0.000, 0.500, 0.500).